Density functional theory data (GGA-PBE) for a relaxed BaCd2HRu crystal.

Cell lengths 7.0959, 7.0959, 5.1766 Å; angles 90.00, 90.00, 90.00 degrees
Last column: nearest neighbours and their distance in Å.
Positions (direct):
Ba 0.0000 0.0000 0.0000  2 Ru 2.59
Cd 0.0000 0.5000 0.0000  2 Ba 3.55
Cd 0.5000 0.0000 0.0000  2 Ba 3.55
H 0.5000 0.5000 0.5000  8 Cd 4.39
Ru 0.0000 0.0000 0.5000  2 Ba 2.59

Output
Space-group type ... P4/mmm
E_tot ... -1.73 eV per atom

Density functional theory data (GGA-PBE) for a relaxed BaCd2H8Ru crystal.

Cell lengths 4.8054, 4.8054, 7.0383 Å; angles 90.00, 90.00, 120.00 degrees
Last column: nearest neighbours and their distance in Å.
Positions (direct):
Ba 0.0000 0.0000 0.0000  12 H 2.79-2.84
Cd 0.3333 0.6667 0.3619  1 H 1.92
Cd 0.6667 0.3333 0.6381  1 H 1.92
H 0.1586 0.3173 0.6515  1 Ru 1.70
H 0.1586 0.8414 0.6515  1 Ru 1.70
H 0.3173 0.1586 0.3485  1 Ru 1.70
H 0.3333 0.6667 0.0885  1 Cd 1.92
H 0.6667 0.3333 0.9115  1 Cd 1.92
H 0.6827 0.8414 0.6515  1 Ru 1.70
H 0.8414 0.1586 0.3485  1 Ru 1.70
H 0.8414 0.6827 0.3485  1 Ru 1.70
Ru 0.0000 0.0000 0.5000  6 H 1.70

Output
Space-group type ... P-3m1
E_tot ... -3.51 eV per atom

Density functional theory data (GGA-PBE) for a relaxed BaCdH6Ru crystal.

Cell lengths 4.8972, 4.8975, 5.1689 Å; angles 86.34, 86.36, 62.48 degrees
Last column: nearest neighbours and their distance in Å.
Positions (direct):
Ba 0.0000 0.0000 0.0000  10 H 2.61-2.87
Cd 0.6405 0.6412 0.4895  3 H 1.98-2.22
H 0.0366 0.4778 0.2046  1 Ru 1.70
H 0.0855 0.5339 0.6891  1 Ru 1.72
H 0.0905 0.0905 0.5050  1 Ru 1.66
H 0.4641 0.4657 0.2533  1 Ru 1.72
H 0.4788 0.0368 0.2057  1 Ru 1.70
H 0.5309 0.0888 0.6910  1 Ru 1.72
Ru 0.2871 0.2880 0.4441  6 H 1.66-1.72

Output
Space-group type ... P1
E_tot ... -3.85 eV per atom

Density functional theory data (GGA-PBE) for a relaxed BaCd2HS crystal.

Cell lengths 4.3681, 4.3681, 6.6108 Å; angles 90.00, 90.00, 90.00 degrees
Last column: nearest neighbours and their distance in Å.
Positions (direct):
Ba 0.0000 0.0000 0.0000  4 S 3.09
Cd 0.0000 0.5000 0.5000  2 H 2.18
Cd 0.5000 0.0000 0.5000  2 H 2.18
H 0.5000 0.5000 0.5000  4 Cd 2.18
S 0.5000 0.5000 0.0000  4 Ba 3.09, 2 H 3.31

Output
Space-group type ... P4/mmm
E_tot ... -2.63 eV per atom

Density functional theory data (GGA-PBE) for a relaxed BaCd2SbH2 crystal.

Cell lengths 6.7485, 6.5680, 7.0299 Å; angles 90.00, 115.93, 90.00 degrees
Last column: nearest neighbours and their distance in Å.
Positions (direct):
Ba 0.2370 0.2500 0.0131  2 H 2.68-2.89
Ba 0.7630 0.7500 0.9869  2 H 2.68-2.89
Cd 0.2367 0.5090 0.4660  2 H 1.98-2.00
Cd 0.2367 0.9910 0.4660  2 H 1.98-2.00
Cd 0.7633 0.0090 0.5340  2 H 1.98-2.00
Cd 0.7633 0.4910 0.5340  2 H 1.98-2.00
Sb 0.1951 0.7500 0.8020  4 Cd 2.96-3.18
Sb 0.8049 0.2500 0.1980  4 Cd 2.96-3.18
H 0.1851 0.7500 0.2758  2 Cd 2.00
H 0.3850 0.2500 0.4654  2 Cd 1.98
H 0.6150 0.7500 0.5346  2 Cd 1.98
H 0.8149 0.2500 0.7242  2 Cd 2.00

Output
Space-group type ... P2_1/m
E_tot ... -2.61 eV per atom

Density functional theory data (GGA-PBE) for a relaxed Ba3Cd2Sb2H4 crystal.

Cell lengths 12.5779, 12.5779, 12.5779 Å; angles 158.60, 158.60, 30.45 degrees
Last column: nearest neighbours and their distance in Å.
Positions (direct):
Ba 0.0000 0.0000 0.0000  8 H 2.79
Ba 0.1654 0.1654 0.0000  5 Sb 3.38-3.39, 4 H 3.41
Ba 0.8346 0.8346 0.0000  5 Sb 3.38-3.39, 4 H 3.41
Cd 0.4249 0.4249 0.0000  4 H 2.35
Cd 0.5751 0.5751 0.0000  4 H 2.35
Sb 0.3050 0.3050 0.0000  1 Cd 2.91
Sb 0.6950 0.6950 0.0000  1 Cd 2.91
H 0.0630 0.5630 0.5000  2 Cd 2.35
H 0.4370 0.9370 0.5000  2 Cd 2.35
H 0.5630 0.0630 0.5000  2 Cd 2.35
H 0.9370 0.4370 0.5000  2 Cd 2.35

Output
Space-group type ... I4/mmm
E_tot ... -2.97 eV per atom